# 1
The following is a DFT calculation (PBE) of crystalline InAuI at its relaxed geometry.

a = 4.2354 Å, b = 4.2354 Å, c = 5.6584 Å
α = 90.00°, β = 90.00°, γ = 120.00°
Last column: nearest neighbours and their distance in Å.
Positions (direct):
In (0.0000, 0.0000, 0.0000)  3 Au 2.79
Au (0.6667, 0.3333, 0.2367)  3 In 2.79
I (0.3333, 0.6667, 0.5931)  3 Au 3.17, 3 In 3.36

Calculated values
Formation energy from raw total energies in eV/atom: -0.171

# 2
The following is a DFT calculation (PBE) of crystalline Ac3Ag2Rh at its relaxed geometry.

a = 7.7090 Å, b = 7.7090 Å, c = 7.9887 Å
α = 99.08°, β = 99.08°, γ = 119.26°
Last column: nearest neighbours and their distance in Å.
Positions (direct):
Ac (0.0657, 0.4234, 0.7701)  2 Rh 3.02-3.03, 3 Ag 3.27-3.37
Ac (0.2135, 0.2135, 0.2142)  2 Rh 3.00, 4 Ag 3.21-3.30
Ac (0.4234, 0.0657, 0.7701)  2 Rh 3.02-3.03, 3 Ag 3.27-3.37
Ac (0.5766, 0.9343, 0.2299)  2 Rh 3.02-3.03, 3 Ag 3.27-3.37
Ac (0.7865, 0.7865, 0.7858)  2 Rh 3.00, 4 Ag 3.21-3.30
Ac (0.9343, 0.5766, 0.2299)  2 Rh 3.02-3.03, 3 Ag 3.27-3.37
Ag (0.0000, 0.0000, 0.5000)  6 Ac 3.22-3.37
Ag (0.3514, 0.6486, 0.5000)  6 Ac 3.30-3.39
Ag (0.5000, 0.5000, 0.0000)  6 Ac 3.21-3.27
Ag (0.6486, 0.3514, 0.5000)  6 Ac 3.30-3.39
Rh (0.1693, 0.8307, 0.0000)  6 Ac 3.00-3.03
Rh (0.8307, 0.1693, 0.0000)  6 Ac 3.00-3.03

Calculated values
DFT formation energy in kJ/mol of formula units: -222
Distance to the lowest polymorph of the same formula in meV per atom: 0.0

| no. | calculated density (g/cm³) |
| --- | --- |
| 1 | 8.29 |
| 2 | 8.44 |